A relaxed structure of Na4Ga2CuIr. Source: the Open Quantum Materials Database, functional PBE-GGA.

Calculated values
Calculated density = 5.6 g cm⁻³
Uncorrected energy = -2.88 eV/atom
Magnetization = 0.0 μB/f.u.

a = 4.6841 Å, b = 4.6841 Å, c = 6.5953 Å
α = 90.00°, β = 90.00°, γ = 90.00°
With the nearest neighbours (Å) after each atom.
Space group P-4m2 (No. 115)
Unique sites:
Na  0.0000  0.0000  0.0000 (multiplicity 1)  4 Ga 2.75, 4 Na 2.91
Na  0.0000  0.5000  0.7382 (multiplicity 2)  2 Cu 2.82, 4 Na 2.82-2.91, 2 Ir 2.91
Na  0.5000  0.5000  0.5000 (multiplicity 1)  4 Na 2.82, 4 Ga 2.99
Ga  0.0000  0.5000  0.2184 (multiplicity 2)  4 Na 2.75-2.99, 2 Ir 2.75, 2 Cu 2.99
Cu  0.0000  0.0000  0.5000 (multiplicity 1)  4 Na 2.82, 4 Ga 2.99
Ir  0.5000  0.5000  0.0000 (multiplicity 1)  4 Ga 2.75, 4 Na 2.91